# 1
Material: BaTlGe2Pt
Method: DFT, PBE-GGA
State: relaxed

Calculated values
Density of states at the Fermi level = 4.98 states/eV per cell
Energy = -20.1 eV per formula unit
SG = P4/mmm, No. 123
Formation enthalpy at 0 K = -104.1 meV per atom

a = 4.974 Å, b = 4.974 Å, c = 5.989 Å
α = 90.00°, β = 90.00°, γ = 90.00°
Element x y z (fractional)
Ba 0.000 0.000 0.000
Tl 0.500 0.500 0.000
Ge 0.000 0.500 0.500
Ge 0.500 0.000 0.500
Pt 0.000 0.000 0.500


# 2
Material: ScRh3
Method: DFT, PBE-GGA
State: relaxed

Calculated values
Density of states at the Fermi level = 6.14 states/eV per cell
Energy = -29.8 eV per formula unit
SG = Fm-3m, No. 225
Formation enthalpy at 0 K = -355.4 meV per atom

a = 4.458 Å, b = 4.458 Å, c = 4.458 Å
α = 60.00°, β = 60.00°, γ = 60.00°
Element x y z (fractional)
Sc 0.000 0.000 0.000
Rh 0.250 0.250 0.250
Rh 0.500 0.500 0.500
Rh 0.750 0.750 0.750